The following is a PBE calculation of Dy3TlCo after structural relaxation, from Alexandria via LeMat-Bulk.

Results
formation energy from the elements = -0.148 eV per atom
energy above the most stable polymorph in this dataset = 62 meV per atom

POSCAR file:
```
Dy3TlCo
1.0
5.147 0.000 0.000
0.000 5.147 0.000
0.000 0.000 5.147
Dy Tl Co
3 1 1
Direct
0.000 0.000 0.500
0.000 0.500 0.000
0.500 0.000 0.000
0.500 0.500 0.500
0.000 0.000 0.000
```

---

The following is a PBE calculation of Dy5TlCo2 after structural relaxation, from Alexandria via LeMat-Bulk.

Results
formation energy from the elements = -0.237 eV per atom

POSCAR file:
```
Dy5TlCo2
1.0
-3.800 3.800 6.794
3.800 -3.800 6.794
3.800 3.800 -6.794
Dy Tl Co
10 2 4
Direct
0.000 0.000 0.000
0.032 0.532 0.823
0.209 0.032 0.500
0.291 0.791 0.823
0.468 0.291 0.500
0.500 0.500 0.000
0.532 0.709 0.500
0.709 0.209 0.177
0.791 0.968 0.500
0.968 0.468 0.177
0.250 0.250 0.000
0.750 0.750 0.000
0.134 0.366 0.500
0.366 0.866 0.232
0.634 0.134 0.768
0.866 0.634 0.500
```

---

It is found that the density values, taken in the order of the records, are 9.14, 9.60 g/cm3.
It is found that the N(E_F) values, taken in the order of the records, are 1.230, 1.005 states/eV/atom.